Entry 1:
A plane-wave DFT calculation with PBE was carried out for an optimized crystal structure of Na3CeSm2Se6.

Summary:
size of the total moment: 2.0 μB per cell
final energy: -5.0213 eV/atom
mass density: 4.96 Mg/m³
formation energy (no corrections): -1.668 eV per atom

Cell lengths 7.374, 12.772, 7.408 Å; angles 90.00, 109.38, 90.00 degrees
Space group C2/m (No. 12)
Asymmetric unit:
Na (0.000, 0.000, 0.000) (multiplicity 2)
Na (0.000, 0.333, 0.000) (multiplicity 4)
Ce (0.000, 0.500, 0.500) (multiplicity 2)
Sm (0.000, 0.167, 0.500) (multiplicity 4)
Se (0.242, 0.000, 0.735) (multiplicity 4)
Se (0.246, 0.332, 0.735) (multiplicity 8)

Entry 2:
A plane-wave DFT calculation with PBE was carried out for an optimized crystal structure of Na4CeSm3Se8.

Summary:
size of the total moment: 3.0 μB per cell
final energy: -5.0024 eV/atom
mass density: 4.99 Mg/m³
formation energy (no corrections): -1.675 eV per atom

Cell lengths 8.5007, 8.5007, 20.9797 Å; angles 90.00, 90.00, 120.00 degrees
Space group R-3m (No. 166, hexagonal axes)
Asymmetric unit:
Na (0.0000, 0.0000, 0.0000) (multiplicity 3)
Na (0.0000, 0.5000, 0.0000) (multiplicity 9)
Ce (0.0000, 0.0000, 0.5000) (multiplicity 3)
Sm (0.0000, 0.5000, 0.5000) (multiplicity 9)
Se (0.0000, 0.0000, 0.2446) (multiplicity 6)
Se (0.0026, 0.5013, 0.7551) (multiplicity 18)

Entry 3:
A plane-wave DFT calculation with PBE was carried out for an optimized crystal structure of Na2CeSnSe4.

Summary:
size of the total moment: 0.2 μB per cell
final energy: -4.5088 eV/atom
mass density: 4.72 Mg/m³
formation energy (no corrections): -1.195 eV per atom

Cell lengths 7.298, 4.248, 7.452 Å; angles 90.00, 109.17, 90.00 degrees
Space group P2/m (No. 10)
Asymmetric unit:
Na (0.000, 0.000, 0.000) (multiplicity 1)
Na (0.000, 0.500, 0.500) (multiplicity 1)
Ce (0.500, 0.000, 0.500) (multiplicity 1)
Sn (0.500, 0.500, 0.000) (multiplicity 1)
Se (0.268, 0.000, 0.743) (multiplicity 2)
Se (0.270, 0.500, 0.262) (multiplicity 2)

Entry 4:
A plane-wave DFT calculation with PBE was carried out for an optimized crystal structure of NaCeSn2Se4.

Summary:
size of the total moment: 1.0 μB per cell
final energy: -4.6250 eV/atom
mass density: 5.32 Mg/m³
formation energy (no corrections): -0.975 eV per atom

Cell lengths 7.309, 4.282, 7.539 Å; angles 90.00, 108.49, 90.00 degrees
Space group P2/m (No. 10)
Asymmetric unit:
Na (0.000, 0.000, 0.000) (multiplicity 1)
Ce (0.500, 0.500, 0.000) (multiplicity 1)
Sn (0.000, 0.500, 0.500) (multiplicity 1)
Sn (0.500, 0.000, 0.500) (multiplicity 1)
Se (0.257, 0.000, 0.757) (multiplicity 2)
Se (0.258, 0.500, 0.248) (multiplicity 2)

Entry 5:
A plane-wave DFT calculation with PBE was carried out for an optimized crystal structure of Na3Ce2SnSe6.

Summary:
size of the total moment: 2.0 μB per cell
final energy: -4.7477 eV/atom
mass density: 4.72 Mg/m³
formation energy (no corrections): -1.353 eV per atom

Cell lengths 18.488, 4.281, 8.554 Å; angles 90.00, 102.14, 90.00 degrees
Space group C2/m (No. 12)
Asymmetric unit:
Na (0.000, 0.000, 0.000) (multiplicity 2)
Na (0.161, 0.500, 0.335) (multiplicity 4)
Ce (0.164, 0.500, 0.831) (multiplicity 4)
Sn (0.000, 0.000, 0.500) (multiplicity 2)
Se (0.007, 0.500, 0.752) (multiplicity 4)
Se (0.167, 0.000, 0.600) (multiplicity 4)
Se (0.172, 0.000, 0.073) (multiplicity 4)

Entry 6:
A plane-wave DFT calculation with PBE was carried out for an optimized crystal structure of NaSrCe2Se4.

Summary:
size of the total moment: 2.7 μB per cell
final energy: -5.3514 eV/atom
mass density: 5.17 Mg/m³
formation energy (no corrections): -1.751 eV per atom

Cell lengths 7.387, 4.282, 7.583 Å; angles 90.00, 108.96, 90.00 degrees
Space group P2/m (No. 10)
Asymmetric unit:
Na (0.000, 0.000, 0.000) (multiplicity 1)
Sr (0.500, 0.500, 0.000) (multiplicity 1)
Ce (0.000, 0.500, 0.500) (multiplicity 1)
Ce (0.500, 0.000, 0.500) (multiplicity 1)
Se (0.245, 0.000, 0.741) (multiplicity 2)
Se (0.253, 0.500, 0.261) (multiplicity 2)

Entry 7:
A plane-wave DFT calculation with PBE was carried out for an optimized crystal structure of Na3Tb2CeSe6.

Summary:
size of the total moment: 2.0 μB per cell
final energy: -5.0134 eV/atom
mass density: 5.16 Mg/m³
formation energy (no corrections): -1.675 eV per atom

Cell lengths 7.296, 12.638, 7.399 Å; angles 90.00, 109.20, 90.00 degrees
Space group C2/m (No. 12)
Asymmetric unit:
Na (0.000, 0.000, 0.000) (multiplicity 2)
Na (0.000, 0.334, 0.000) (multiplicity 4)
Tb (0.000, 0.167, 0.500) (multiplicity 4)
Ce (0.000, 0.500, 0.500) (multiplicity 2)
Se (0.237, 0.000, 0.733) (multiplicity 4)
Se (0.248, 0.330, 0.732) (multiplicity 8)

Entry 8:
A plane-wave DFT calculation with PBE was carried out for an optimized crystal structure of Na2TbCe3Se6.

Summary:
size of the total moment: 7.8 μB per cell
final energy: -5.5085 eV/atom
mass density: 5.75 Mg/m³
formation energy (no corrections): -1.677 eV per atom

Cell lengths 7.296, 12.621, 7.301 Å; angles 90.00, 109.33, 90.00 degrees
Space group C2/m (No. 12)
Asymmetric unit:
Na (0.000, 0.165, 0.000) (multiplicity 4)
Tb (0.000, 0.500, 0.000) (multiplicity 2)
Ce (0.000, 0.000, 0.500) (multiplicity 2)
Ce (0.000, 0.329, 0.500) (multiplicity 4)
Se (0.241, 0.500, 0.750) (multiplicity 4)
Se (0.245, 0.337, 0.244) (multiplicity 8)

Entry 9:
A plane-wave DFT calculation with PBE was carried out for an optimized crystal structure of NaTb2CeSe4.

Summary:
size of the total moment: 1.3 μB per cell
final energy: -5.5506 eV/atom
mass density: 6.50 Mg/m³
formation energy (no corrections): -1.744 eV per atom

Cell lengths 7.194, 4.125, 7.253 Å; angles 90.00, 109.04, 90.00 degrees
Space group P2/m (No. 10)
Asymmetric unit:
Na (0.000, 0.000, 0.000) (multiplicity 1)
Tb (0.000, 0.500, 0.500) (multiplicity 1)
Tb (0.500, 0.000, 0.500) (multiplicity 1)
Ce (0.500, 0.500, 0.000) (multiplicity 1)
Se (0.244, 0.000, 0.742) (multiplicity 2)
Se (0.252, 0.500, 0.259) (multiplicity 2)

Entry 10:
A plane-wave DFT calculation with PBE was carried out for an optimized crystal structure of NaTb4CeSe8.

Summary:
size of the total moment: 3.0 μB per cell
final energy: -5.5772 eV/atom
mass density: 5.39 Mg/m³
formation energy (no corrections): -1.745 eV per atom

Cell lengths 8.4914, 8.4914, 21.1784 Å; angles 90.00, 90.00, 120.00 degrees
Space group R3m (No. 160, hexagonal axes)
Asymmetric unit:
Na (0.0000, 0.0000, 0.0000) (multiplicity 3)
Tb (0.0000, 0.0000, 0.7471) (multiplicity 3)
Tb (0.0128, 0.5064, 0.8749) (multiplicity 9)
Ce (0.0000, 0.0000, 0.3698) (multiplicity 3)
Se (0.0000, 0.0000, 0.1338) (multiplicity 3)
Se (0.0000, 0.0000, 0.6149) (multiplicity 3)
Se (0.0161, 0.5080, 0.1285) (multiplicity 9)
Se (0.1785, 0.3569, 0.9510) (multiplicity 9)

Entry 11:
A plane-wave DFT calculation with PBE was carried out for an optimized crystal structure of Na2TbCeSe4.

Summary:
size of the total moment: 1.0 μB per cell
final energy: -5.0515 eV/atom
mass density: 5.06 Mg/m³
formation energy (no corrections): -1.659 eV per atom

Cell lengths 7.335, 4.233, 7.401 Å; angles 90.00, 109.33, 90.00 degrees
Space group P2/m (No. 10)
Asymmetric unit:
Na (0.000, 0.000, 0.000) (multiplicity 1)
Na (0.500, 0.500, 0.000) (multiplicity 1)
Tb (0.000, 0.500, 0.500) (multiplicity 1)
Ce (0.500, 0.000, 0.500) (multiplicity 1)
Se (0.238, 0.000, 0.732) (multiplicity 2)
Se (0.248, 0.500, 0.266) (multiplicity 2)

Entry 12:
A plane-wave DFT calculation with PBE was carried out for an optimized crystal structure of NaTb2Ce3Se6.

Summary:
size of the total moment: 7.0 μB per cell
final energy: -5.8538 eV/atom
mass density: 6.66 Mg/m³
formation energy (no corrections): -1.746 eV per atom

Cell lengths 7.205, 12.483, 7.255 Å; angles 90.00, 109.34, 90.00 degrees
Space group C2/m (No. 12)
Asymmetric unit:
Na (0.000, 0.000, 0.000) (multiplicity 2)
Tb (0.000, 0.333, 0.000) (multiplicity 4)
Ce (0.000, 0.165, 0.500) (multiplicity 4)
Ce (0.000, 0.500, 0.500) (multiplicity 2)
Se (0.245, 0.500, 0.238) (multiplicity 4)
Se (0.248, 0.167, 0.241) (multiplicity 8)

Entry 13:
A plane-wave DFT calculation with PBE was carried out for an optimized crystal structure of Na3CeTe2Se6.

Summary:
size of the total moment: 1.0 μB per cell
final energy: -3.8733 eV/atom
mass density: 4.61 Mg/m³
formation energy (no corrections): -0.783 eV per atom

Cell lengths 8.072, 12.291, 7.437 Å; angles 90.00, 113.76, 90.00 degrees
Space group C2/m (No. 12)
Asymmetric unit:
Na (0.000, 0.000, 0.000) (multiplicity 2)
Na (0.000, 0.329, 0.000) (multiplicity 4)
Ce (0.000, 0.500, 0.500) (multiplicity 2)
Te (0.000, 0.171, 0.500) (multiplicity 4)
Se (0.215, 0.328, 0.746) (multiplicity 8)
Se (0.245, 0.000, 0.713) (multiplicity 4)

Entry 14:
A plane-wave DFT calculation with PBE was carried out for an optimized crystal structure of Na2CeTeSe4.

Summary:
size of the total moment: 0.2 μB per cell
final energy: -4.2212 eV/atom
mass density: 4.43 Mg/m³
formation energy (no corrections): -1.015 eV per atom

Cell lengths 7.714, 4.101, 7.978 Å; angles 90.00, 110.81, 90.00 degrees
Space group P2/m (No. 10)
Asymmetric unit:
Na (0.000, 0.000, 0.000) (multiplicity 1)
Na (0.500, 0.500, 0.500) (multiplicity 1)
Ce (0.000, 0.000, 0.500) (multiplicity 1)
Te (0.500, 0.500, 0.000) (multiplicity 1)
Se (0.089, 0.500, 0.296) (multiplicity 2)
Se (0.392, 0.000, 0.739) (multiplicity 2)

Entry 15:
A plane-wave DFT calculation with PBE was carried out for an optimized crystal structure of NaCe2Th3Se6.

Summary:
size of the total moment: 3.2 μB per cell
final energy: -6.3175 eV/atom
mass density: 7.79 Mg/m³
formation energy (no corrections): -1.621 eV per atom

Cell lengths 18.358, 4.175, 8.450 Å; angles 90.00, 104.02, 90.00 degrees
Space group C2/m (No. 12)
Asymmetric unit:
Na (0.000, 0.000, 0.000) (multiplicity 2)
Ce (0.169, 0.500, 0.335) (multiplicity 4)
Th (0.000, 0.000, 0.500) (multiplicity 2)
Th (0.168, 0.500, 0.828) (multiplicity 4)
Se (0.000, 0.500, 0.246) (multiplicity 4)
Se (0.163, 0.000, 0.079) (multiplicity 4)
Se (0.166, 0.000, 0.578) (multiplicity 4)

Entry 16:
A plane-wave DFT calculation with PBE was carried out for an optimized crystal structure of NaCeTh2Se4.

Summary:
size of the total moment: 0.9 μB per cell
final energy: -6.0829 eV/atom
mass density: 7.46 Mg/m³
formation energy (no corrections): -1.579 eV per atom

Cell lengths 7.242, 4.162, 7.353 Å; angles 90.00, 108.78, 90.00 degrees
Space group P2/m (No. 10)
Asymmetric unit:
Na (0.000, 0.000, 0.000) (multiplicity 1)
Ce (0.500, 0.500, 0.000) (multiplicity 1)
Th (0.000, 0.500, 0.500) (multiplicity 1)
Th (0.500, 0.000, 0.500) (multiplicity 1)
Se (0.245, 0.500, 0.246) (multiplicity 2)
Se (0.246, 0.000, 0.756) (multiplicity 2)

Entry 17:
A plane-wave DFT calculation with PBE was carried out for an optimized crystal structure of Na3CeTh2Se6.

Summary:
size of the total moment: 4.0 μB per cell
final energy: -5.3304 eV/atom
mass density: 5.80 Mg/m³
formation energy (no corrections): -1.527 eV per atom

Cell lengths 7.287, 12.620, 7.540 Å; angles 90.00, 108.79, 90.00 degrees
Space group C2/m (No. 12)
Asymmetric unit:
Na (0.000, 0.000, 0.000) (multiplicity 2)
Na (0.000, 0.334, 0.000) (multiplicity 4)
Ce (0.000, 0.500, 0.500) (multiplicity 2)
Th (0.000, 0.167, 0.500) (multiplicity 4)
Se (0.243, 0.000, 0.743) (multiplicity 4)
Se (0.249, 0.331, 0.742) (multiplicity 8)

Entry 18:
A plane-wave DFT calculation with PBE was carried out for an optimized crystal structure of Na4CeTh3Se8.

Summary:
size of the total moment: 5.4 μB per cell
final energy: -5.3487 eV/atom
mass density: 5.94 Mg/m³
formation energy (no corrections): -1.515 eV per atom

Cell lengths 8.3768, 8.3768, 21.5237 Å; angles 90.00, 90.00, 120.00 degrees
Space group R-3m (No. 166, hexagonal axes)
Asymmetric unit:
Na (0.0000, 0.0000, 0.0000) (multiplicity 3)
Na (0.0000, 0.5000, 0.0000) (multiplicity 9)
Ce (0.0000, 0.0000, 0.5000) (multiplicity 3)
Th (0.0000, 0.5000, 0.5000) (multiplicity 9)
Se (0.0000, 0.0000, 0.2478) (multiplicity 6)
Se (0.0027, 0.5014, 0.7525) (multiplicity 18)

Entry 19:
A plane-wave DFT calculation with PBE was carried out for an optimized crystal structure of Na3Ce2TlSe6.

Summary:
size of the total moment: 0.8 μB per cell
final energy: -4.5654 eV/atom
mass density: 5.07 Mg/m³
formation energy (no corrections): -1.307 eV per atom

Cell lengths 18.454, 4.284, 8.658 Å; angles 90.00, 100.60, 90.00 degrees
Space group C2/m (No. 12)
Asymmetric unit:
Na (0.000, 0.000, 0.000) (multiplicity 2)
Na (0.157, 0.500, 0.338) (multiplicity 4)
Ce (0.165, 0.500, 0.832) (multiplicity 4)
Tl (0.000, 0.000, 0.500) (multiplicity 2)
Se (0.012, 0.500, 0.771) (multiplicity 4)
Se (0.173, 0.000, 0.069) (multiplicity 4)
Se (0.176, 0.000, 0.615) (multiplicity 4)

Entry 20:
A plane-wave DFT calculation with PBE was carried out for an optimized crystal structure of NaCe2TlSe4.

Summary:
size of the total moment: 8.0 μB per cell
final energy: -5.1320 eV/atom
mass density: 5.70 Mg/m³
formation energy (no corrections): -1.446 eV per atom

Cell lengths 8.698, 8.858, 12.444 Å; angles 90.00, 90.00, 90.00 degrees
Space group Imma (No. 74)
Asymmetric unit:
Na (0.000, 0.000, 0.000) (multiplicity 4)
Ce (0.000, 0.000, 0.500) (multiplicity 4)
Ce (0.250, 0.250, 0.250) (multiplicity 4)
Tl (0.250, 0.250, 0.750) (multiplicity 4)
Se (0.000, 0.024, 0.259) (multiplicity 8)
Se (0.236, 0.250, 0.489) (multiplicity 8)